DFT (PBE) results for crystalline HfVAs at its relaxed geometry.

Properties
Space group: No. 187
Mass density: 9.611 Mg/m³
Energy: -8.0989 eV per atom

a b c (Å): 4.283 4.283 3.311
angles (deg): 90.00 90.00 120.00
Atoms (fractional coordinates):
Hf1 0.000 0.000 0.000
V1 0.667 0.333 0.500
As1 0.333 0.667 0.500